No. 1
{"formula": "MnNbAlRu", "functional": "PBE", "state": "optimized geometry", "cell": [[3.0887, 0.0000, 0.0000], [0.0000, 3.0887, 0.0000], [0.0000, 0.0000, 5.9821]], "species": ["Mn", "Nb", "Al", "Ru"], "frac_coords": [[0.0000, 0.0000, 0.0000], [0.5000, 0.5000, 0.7601], [0.5000, 0.5000, 0.2432], [0.0000, 0.0000, 0.4866]], "formation_energy_mev_per_atom": -364}

=====

No. 2
{"formula": "Rb3TbEr2Te6", "functional": "PBE", "state": "optimized geometry", "cell": [[3.9076, -6.7681, 0.0000], [3.9076, 6.7681, 0.0000], [-2.6056, 0.0000, 8.5496]], "species": ["Rb", "Rb", "Rb", "Tb", "Er", "Er", "Te", "Te", "Te", "Te", "Te", "Te"], "frac_coords": [[0.0000, 0.0000, 0.0000], [0.3341, 0.6659, 0.0000], [0.6659, 0.3341, 0.0000], [0.5000, 0.5000, 0.5000], [0.1668, 0.8332, 0.5000], [0.8332, 0.1668, 0.5000], [0.0977, 0.4338, 0.3015], [0.2299, 0.2299, 0.6982], [0.4338, 0.0977, 0.3015], [0.5662, 0.9023, 0.6985], [0.7701, 0.7701, 0.3018], [0.9023, 0.5662, 0.6985]], "e_form_raw_ev_per_atom": -1.3760}

=====

No. 3
{"formula": "ZrGa3", "functional": "PBE", "state": "optimized geometry", "cell": [[2.8197, -2.8144, 0.0000], [2.8197, 2.8144, 0.0000], [-2.8169, 0.0000, 8.8093]], "species": ["Zr", "Zr", "Ga", "Ga", "Ga", "Ga", "Ga", "Ga"], "frac_coords": [[0.1191, 0.1191, 0.2372], [0.8809, 0.8809, 0.7628], [0.0000, 0.5000, 0.0000], [0.2501, 0.7499, 0.5000], [0.3758, 0.3758, 0.7525], [0.5000, 0.0000, 0.0000], [0.6242, 0.6242, 0.2475], [0.7499, 0.2501, 0.5000]], "formation_energy_mev_per_atom": -491}